(1)
Here is crystalline YTiS2Cl at its relaxed geometry from Alexandria. Energies are from PBE-GGA.

a = 5.250 Å, b = 5.250 Å, c = 5.033 Å
α = 90.00°, β = 90.00°, γ = 90.00°
Atoms (fractional coordinates):
Y 0.000 0.000 0.000
Ti 0.500 0.500 0.500
Cl 0.000 0.000 0.500
S 0.500 0.000 0.000
S 0.000 0.500 0.000

## Properties
For the uncorrected formation energy, the calculation gives -2.850 eV/f.u. The total magnetization is 0.05 μB/f.u. For the excess energy over the best structure of this formula in the dataset, the calculation gives 591 meV per atom.



(2)
Here is crystalline TiZnS2Cl at its relaxed geometry from Alexandria. Energies are from PBE-GGA.

a = 4.691 Å, b = 4.691 Å, c = 4.660 Å
α = 90.00°, β = 90.00°, γ = 90.00°
Each line ends with the local moment (μB).
Atoms (fractional coordinates):
S 0.000 0.500 0.000  -0.12
Zn 0.000 0.000 0.000  0.00
S 0.500 0.000 0.000  -0.12
Ti 0.500 0.500 0.500  1.56
Cl 0.000 0.000 0.500  -0.04

## Properties
For the uncorrected formation energy, the calculation gives 0.181 eV/f.u. The total magnetization is 1.44 μB/f.u. For the excess energy over the best structure of this formula in the dataset, the calculation gives 577 meV per atom.



(3)
Here is crystalline TiZnS2Cl at its relaxed geometry from Alexandria. Energies are from PBE-GGA.

a = 4.729 Å, b = 4.729 Å, c = 4.807 Å
α = 90.00°, β = 90.00°, γ = 90.00°
Atoms (fractional coordinates):
Cl 0.000 0.000 0.500
Zn 0.500 0.500 0.500
Ti 0.000 0.000 0.000
S 0.000 0.500 0.000
S 0.500 0.000 0.000

## Properties
For the uncorrected formation energy, the calculation gives -2.702 eV/f.u. The total magnetization is 0.00 μB/f.u. For the excess energy over the best structure of this formula in the dataset, the calculation gives 0 meV per atom.



(4)
Here is crystalline ZrTiS2Cl at its relaxed geometry from Alexandria. Energies are from PBE-GGA.

a = 4.988 Å, b = 4.988 Å, c = 4.912 Å
α = 90.00°, β = 90.00°, γ = 90.00°
Each line ends with the local moment (μB).
Atoms (fractional coordinates):
S 0.500 0.000 0.000  -0.01
S 0.000 0.500 0.000  -0.01
Zr 0.000 0.000 0.000  -0.02
Ti 0.500 0.500 0.500  0.48
Cl 0.000 0.000 0.500  0.00

## Properties
For the uncorrected formation energy, the calculation gives -2.057 eV/f.u. The total magnetization is 0.57 μB/f.u. For the excess energy over the best structure of this formula in the dataset, the calculation gives 162 meV per atom.



(5)
Here is crystalline ZrTiSCl2 at its relaxed geometry from Alexandria. Energies are from PBE-GGA.

a = 4.670 Å, b = 4.670 Å, c = 4.862 Å
α = 90.00°, β = 90.00°, γ = 90.00°
Each line ends with the local moment (μB).
Atoms (fractional coordinates):
Zr 0.500 0.500 0.500  1.50
S 0.000 0.000 0.500  -0.04
Ti 0.000 0.000 0.000  0.25
Cl 0.000 0.500 0.000  0.00
Cl 0.500 0.000 0.000  0.00

## Properties
For the uncorrected formation energy, the calculation gives -2.377 eV/f.u. The total magnetization is 2.55 μB/f.u. For the excess energy over the best structure of this formula in the dataset, the calculation gives 0 meV per atom.



(6)
Here is crystalline Zr2TiSCl at its relaxed geometry from Alexandria. Energies are from PBE-GGA.

a = 4.746 Å, b = 4.746 Å, c = 5.642 Å
α = 90.00°, β = 90.00°, γ = 90.00°
Atoms (fractional coordinates):
Zr 0.000 0.500 0.000
Zr 0.500 0.000 0.000
S 0.000 0.000 0.000
Cl 0.000 0.000 0.500
Ti 0.500 0.500 0.500

## Properties
For the uncorrected formation energy, the calculation gives 1.377 eV/f.u. The total magnetization is 0.00 μB/f.u.



(7)
Here is crystalline ZrTiSCl2 at its relaxed geometry from Alexandria. Energies are from PBE-GGA.

a = 4.985 Å, b = 4.985 Å, c = 5.033 Å
α = 90.00°, β = 90.00°, γ = 90.00°
Each line ends with the local moment (μB).
Atoms (fractional coordinates):
Zr 0.000 0.000 0.000  0.06
Cl 0.500 0.000 0.000  0.00
S 0.000 0.000 0.500  0.00
Cl 0.000 0.500 0.000  0.00
Ti 0.500 0.500 0.500  -0.09

## Properties
For the uncorrected formation energy, the calculation gives -1.703 eV/f.u. The total magnetization is 0.00 μB/f.u. For the excess energy over the best structure of this formula in the dataset, the calculation gives 135 meV per atom.



(8)
Here is crystalline ZrTiS2Cl at its relaxed geometry from Alexandria. Energies are from PBE-GGA.

a = 4.730 Å, b = 4.730 Å, c = 4.555 Å
α = 90.00°, β = 90.00°, γ = 90.00°
Each line ends with the local moment (μB).
Atoms (fractional coordinates):
Zr 0.500 0.500 0.500  1.20
Ti 0.000 0.000 0.000  0.00
S 0.000 0.500 0.000  -0.04
S 0.500 0.000 0.000  -0.04
Cl 0.000 0.000 0.500  -0.01

## Properties
For the uncorrected formation energy, the calculation gives -2.867 eV/f.u. The total magnetization is 1.63 μB/f.u. For the excess energy over the best structure of this formula in the dataset, the calculation gives 0 meV per atom.



(9)
Here is crystalline Tl3SCl2 at its relaxed geometry from Alexandria. Energies are from PBE-GGA.

a = 6.015 Å, b = 8.972 Å, c = 7.909 Å
α = 106.48°, β = 112.35°, γ = 90.00°
Atoms (fractional coordinates):
Cl 0.347 0.423 0.694
Tl 0.499 0.250 0.000
Tl 0.154 0.577 0.308
Cl 0.653 0.577 0.306
Cl 0.347 0.923 0.694
Tl 0.154 0.077 0.308
S 0.999 0.250 0.000
Tl 0.846 0.923 0.692
Tl 0.501 0.750 0.000
S 0.001 0.750 0.000
Tl 0.846 0.423 0.692
Cl 0.653 0.077 0.306

## Properties
For the uncorrected formation energy, the calculation gives -3.885 eV/f.u. The total magnetization is 0.00 μB/f.u.



(10)
Here is crystalline Tl4S2Cl at its relaxed geometry from Alexandria. Energies are from PBE-GGA.

a = 4.478 Å, b = 7.898 Å, c = 13.149 Å
α = 90.00°, β = 90.00°, γ = 106.47°
Atoms (fractional coordinates):
Tl 0.761 0.522 0.125
S 0.145 0.289 0.055
Tl 0.500 0.000 0.500
S 0.855 0.711 0.555
Cl 0.569 0.139 0.750
S 0.855 0.711 0.945
Tl 0.239 0.478 0.875
Tl 0.761 0.522 0.375
Tl 0.239 0.478 0.625
Tl 0.938 0.876 0.750
S 0.145 0.289 0.445
Tl 0.500 0.000 0.000
Tl 0.062 0.124 0.250
Cl 0.431 0.861 0.250

## Properties
For the uncorrected formation energy, the calculation gives -3.016 eV/f.u. The total magnetization is 0.00 μB/f.u.



(11)
Here is crystalline Tl4SCl3 at its relaxed geometry from Alexandria. Energies are from PBE-GGA.

a = 6.274 Å, b = 6.274 Å, c = 13.020 Å
α = 90.00°, β = 90.00°, γ = 90.00°
Each line ends with the local moment (μB).
Atoms (fractional coordinates):
S 0.564 0.750 0.500  0.34
S 0.064 0.250 0.000  0.34
Cl 0.564 0.750 0.000  0.02
Tl 0.564 0.250 0.500  0.06
Tl 0.564 0.250 0.000  0.06
Tl 0.064 0.251 0.239  0.00
Tl 0.564 0.749 0.739  0.00
Cl 0.564 0.249 0.250  0.01
Tl 0.064 0.750 0.500  0.06
Tl 0.064 0.251 0.761  0.00
Tl 0.064 0.750 0.000  0.06
Cl 0.064 0.250 0.500  0.02
Cl 0.064 0.751 0.750  0.01
Cl 0.564 0.249 0.750  0.01
Cl 0.064 0.751 0.250  0.01
Tl 0.564 0.749 0.261  0.00

## Properties
For the uncorrected formation energy, the calculation gives -5.817 eV/f.u. The total magnetization is 0.75 μB/f.u.



(12)
Here is crystalline TlSCl3 at its relaxed geometry from Alexandria. Energies are from PBE-GGA.

a = 5.345 Å, b = 5.345 Å, c = 5.345 Å
α = 90.00°, β = 90.00°, γ = 90.00°
Each line ends with the local moment (μB).
Atoms (fractional coordinates):
Cl 0.000 0.500 0.000  0.05
S 0.500 0.500 0.500  1.33
Cl 0.500 0.000 0.000  0.07
Tl 0.000 0.000 0.000  -0.01
Cl 0.000 0.000 0.500  0.09

## Properties
For the uncorrected formation energy, the calculation gives 0.616 eV/f.u. The total magnetization is 2.43 μB/f.u. For the excess energy over the best structure of this formula in the dataset, the calculation gives 438 meV per atom.



Please write out number 9 again, unchanged.
Here is crystalline Tl3SCl2 at its relaxed geometry from Alexandria. Energies are from PBE-GGA.

a = 6.015 Å, b = 8.972 Å, c = 7.909 Å
α = 106.48°, β = 112.35°, γ = 90.00°
Atoms (fractional coordinates):
Cl 0.347 0.423 0.694
Tl 0.499 0.250 0.000
Tl 0.154 0.577 0.308
Cl 0.653 0.577 0.306
Cl 0.347 0.923 0.694
Tl 0.154 0.077 0.308
S 0.999 0.250 0.000
Tl 0.846 0.923 0.692
Tl 0.501 0.750 0.000
S 0.001 0.750 0.000
Tl 0.846 0.423 0.692
Cl 0.653 0.077 0.306

## Properties
For the uncorrected formation energy, the calculation gives -3.885 eV/f.u. The total magnetization is 0.00 μB/f.u.



Number 6 is which compound? Zr2TiSCl